This record from Alexandria via LeMat-Bulk describes a relaxed Y2MgTaN crystal. The functional is PBE.

Unit cell a=4.987 b=4.987 c=4.158 alpha=90.00 beta=90.00 gamma=90.00
Each line ends with the local moment (μB).
Sites, in units of the cell vectors:
Ta  0.000  0.000  0.500  0.41
N  0.000  0.000  0.000  -0.02
Y  0.500  0.000  0.000  0.06
Y  0.000  0.500  0.000  0.06
Mg  0.500  0.500  0.500  0.00

## Properties
Its uncorrected formation energy is -2.73 eV/f.u. Its final energy is -7.49 eV/atom. For the magnetization, the calculation gives 0.8 μB/f.u. For the calculated density, the calculation gives 6.4 g/cm³. The space group is P4/mmm, No. 123.